No. 1
Material: TlSi2Ni
Method: DFT, GGA-PBE
State: optimized geometry

Results
density of states at the Fermi level	1.78	states/eV/cell
total DFT energy (no corrections)	-4.59	eV/atom
M_tot	0.00	μB per cell

Cell: 3.498 3.551 6.075 Å, 90.00 104.97 90.00°
Space group Pm (No. 6)
One atom of each set of equivalent atoms:
Tl: 0.000 0.000 0.000 x1
Si: 0.223 0.500 0.516 x1
Si: 0.719 0.000 0.514 x1
Ni: 0.604 0.500 0.249 x1

---

No. 2
Material: Tl2SiNi
Method: DFT, GGA-PBE
State: optimized geometry

Results
E above lowest polymorph	68.3	kJ/mol of formula units
density of states at the Fermi level	3.97	states/eV/cell
M_tot	0.00	μB per cell

Cell: 3.159 4.427 12.744 Å, 90.00 90.00 90.00°
Space group Imm2 (No. 44)
One atom of each set of equivalent atoms:
Tl: 0.000 0.000 0.000 x2
Tl: 0.000 0.500 0.199 x2
Si: 0.000 0.000 0.375 x2
Ni: 0.000 0.500 0.747 x2

---

No. 3
Material: Tl2SiNi
Method: DFT, GGA-PBE
State: optimized geometry

Results
E above lowest polymorph	227.6	kJ/mol of formula units
density of states at the Fermi level	12.65	states/eV/cell
M_tot	0.00	μB per cell

Cell: 6.976 6.976 6.976 Å, 90.00 90.00 90.00°
Space group F-43m (No. 216)
One atom of each set of equivalent atoms:
Tl: 0.000 0.000 0.000 x4
Tl: 0.250 0.250 0.250 x4
Si: 0.000 0.000 0.500 x4
Ni: 0.250 0.250 0.750 x4

---

> Look up the M_tot of the first one.

0.00 μB per cell